No. 1
VASP calculation (GGA-PBEsol) on a relaxed FeMo2Pt crystal.

Cell lengths 4.6837, 4.6837, 4.6837 Å; angles 132.40, 132.40, 69.60 degrees
With the nearest neighbours (Å) after each atom.
Sites, in units of the cell vectors:
Fe (0.0000, 0.0000, 0.0000)  4 Pt 2.67, 8 Mo 2.70
Mo (0.2500, 0.7500, 0.5000)  4 Mo 2.67, 4 Fe 2.70, 4 Pt 2.70
Mo (0.7500, 0.2500, 0.5000)  4 Mo 2.67, 4 Fe 2.70, 4 Pt 2.70
Pt (0.5000, 0.5000, 0.0000)  4 Fe 2.67, 8 Mo 2.70

Values from the calculation:
Total DFT energy (no corrections) (eV/atom): -9.99
Calculated volume (A^3/atom): 13.739

No. 2
VASP calculation (GGA-PBEsol) on a relaxed FeMo2Pt crystal.

Cell lengths 2.6763, 4.3484, 4.7591 Å; angles 90.00, 90.00, 90.00 degrees
With the nearest neighbours (Å) after each atom.
Sites, in units of the cell vectors:
Fe (0.0000, 0.0000, 0.0000)  8 Mo 2.65-2.79, 2 Fe 2.68, 2 Pt 2.70
Mo (0.5000, 0.0000, 0.4865)  4 Fe 2.67-2.79, 4 Mo 2.68-2.70, 4 Pt 2.69
Mo (0.5000, 0.5000, 0.1491)  4 Fe 2.65, 4 Mo 2.68-2.70, 4 Pt 2.68-2.78
Pt (0.0000, 0.5000, 0.6619)  2 Pt 2.68, 8 Mo 2.68-2.78, 2 Fe 2.70

Values from the calculation:
Total DFT energy (no corrections) (eV/atom): -9.95
Calculated volume (A^3/atom): 13.846

No. 3
VASP calculation (GGA-PBEsol) on a relaxed Fe2MoPt crystal.

Cell lengths 4.5881, 4.5881, 4.5881 Å; angles 132.61, 132.61, 69.26 degrees
With the nearest neighbours (Å) after each atom.
Sites, in units of the cell vectors:
Fe (0.0000, 0.0000, 0.0000)  4 Pt 2.61, 4 Fe 2.64, 4 Mo 2.64
Fe (0.7500, 0.2500, 0.5000)  4 Mo 2.61, 4 Pt 2.64, 4 Fe 2.64
Mo (0.2500, 0.7500, 0.5000)  8 Fe 2.61-2.64, 4 Pt 2.64
Pt (0.5000, 0.5000, 0.0000)  8 Fe 2.61-2.64, 4 Mo 2.64

Values from the calculation:
Total DFT energy (no corrections) (eV/atom): -9.26
Calculated volume (A^3/atom): 12.833

No. 4
VASP calculation (GGA-PBEsol) on a relaxed Fe2MoPt crystal.

Cell lengths 2.6456, 3.6680, 5.2877 Å; angles 90.00, 90.00, 90.00 degrees
With the nearest neighbours (Å) after each atom.
Sites, in units of the cell vectors:
Fe (0.0000, 0.0000, 0.0000)  1 Mo 2.38, 6 Fe 2.53-2.65, 4 Pt 2.66
Fe (0.5000, 0.5000, 0.2153)  6 Fe 2.53-2.65, 2 Pt 2.53-2.75, 4 Mo 2.58
Mo (0.0000, 0.0000, 0.4499)  5 Fe 2.38-2.58, 2 Mo 2.65
Pt (0.5000, 0.5000, 0.7360)  6 Fe 2.53-2.75, 2 Pt 2.65, 4 Mo 2.72

Values from the calculation:
Total DFT energy (no corrections) (eV/atom): -9.23
Calculated volume (A^3/atom): 12.828

No. 5
VASP calculation (GGA-PBEsol) on a relaxed FeMo2Pt crystal.

Cell lengths 8.9377, 8.9377, 8.9377 Å; angles 17.39, 17.39, 17.39 degrees
With the nearest neighbours (Å) after each atom.
Sites, in units of the cell vectors:
Fe (0.0000, 0.0000, 0.0000)  6 Mo 2.58, 6 Fe 2.70
Mo (0.2553, 0.2553, 0.2553)  3 Fe 2.58, 6 Mo 2.70, 3 Pt 2.81
Mo (0.7447, 0.7447, 0.7447)  3 Fe 2.58, 6 Mo 2.70, 3 Pt 2.81
Pt (0.5000, 0.5000, 0.5000)  6 Pt 2.70, 6 Mo 2.81

Values from the calculation:
Total DFT energy (no corrections) (eV/atom): -9.77
Calculated volume (A^3/atom): 13.907

No. 6
VASP calculation (GGA-PBEsol) on a relaxed FeMo2Pt crystal.

Cell lengths 2.6898, 3.7771, 5.4221 Å; angles 90.00, 90.00, 90.00 degrees
With the nearest neighbours (Å) after each atom.
Sites, in units of the cell vectors:
Fe (0.0000, 0.0000, 0.0000)  8 Mo 2.63, 2 Fe 2.69, 2 Pt 2.71
Mo (0.5000, 0.5000, 0.2274)  3 Mo 2.47-2.69, 4 Fe 2.63, 4 Pt 2.75
Mo (0.5000, 0.5000, 0.7726)  3 Mo 2.47-2.69, 4 Fe 2.63, 4 Pt 2.75
Pt (0.0000, 0.0000, 0.5000)  2 Pt 2.69, 2 Fe 2.71, 8 Mo 2.75

Values from the calculation:
Total DFT energy (no corrections) (eV/atom): -9.99
Calculated volume (A^3/atom): 13.772

No. 7
VASP calculation (GGA-PBEsol) on a relaxed FeMo2Pt crystal.

Cell lengths 4.7189, 4.7189, 2.6693 Å; angles 90.00, 90.00, 111.34 degrees
With the nearest neighbours (Å) after each atom.
Sites, in units of the cell vectors:
Fe (0.0000, 0.0000, 0.0000)  2 Pt 2.66, 2 Fe 2.67, 8 Mo 2.71
Mo (0.0000, 0.5000, 0.5000)  4 Mo 2.66-2.67, 4 Fe 2.71, 4 Pt 2.71
Mo (0.5000, 0.0000, 0.5000)  4 Mo 2.66-2.67, 4 Fe 2.71, 4 Pt 2.71
Pt (0.5000, 0.5000, 0.0000)  2 Fe 2.66, 2 Pt 2.67, 8 Mo 2.71

Values from the calculation:
Total DFT energy (no corrections) (eV/atom): -9.93
Calculated volume (A^3/atom): 13.840

No. 8
VASP calculation (GGA-PBEsol) on a relaxed FeMo2Pt crystal.

Cell lengths 3.2320, 3.2320, 5.4466 Å; angles 90.00, 90.00, 90.00 degrees
With the nearest neighbours (Å) after each atom.
Sites, in units of the cell vectors:
Fe (0.0000, 0.0000, 0.0000)  8 Mo 2.58, 2 Pt 2.72
Mo (0.5000, 0.5000, 0.2185)  1 Mo 2.38, 4 Fe 2.58
Mo (0.5000, 0.5000, 0.7815)  1 Mo 2.38, 4 Fe 2.58
Pt (0.0000, 0.0000, 0.5000)  2 Fe 2.72, 8 Mo 2.75

Values from the calculation:
Total DFT energy (no corrections) (eV/atom): -9.79
Calculated volume (A^3/atom): 14.224

No. 9
VASP calculation (GGA-PBEsol) on a relaxed Ta2FeMoPt crystal.

Cell lengths 4.7220, 4.7220, 4.7296 Å; angles 90.00, 90.00, 90.00 degrees
With the nearest neighbours (Å) after each atom.
Sites, in units of the cell vectors:
Ta (0.0000, 0.5000, 0.0000)  2 Mo 2.36
Ta (0.5000, 0.0000, 0.0000)  2 Mo 2.36
Fe (0.0000, 0.0000, 0.5000)  4 Pt 3.34, 8 Ta 3.34
Mo (0.5000, 0.5000, 0.0000)  4 Ta 2.36, 2 Pt 2.36
Pt (0.5000, 0.5000, 0.5000)  2 Mo 2.36

Values from the calculation:
Total DFT energy (no corrections) (eV/atom): -8.85
Calculated volume (A^3/atom): 21.091

No. 10
VASP calculation (GGA-PBEsol) on a relaxed FeRe2Mo crystal.

Cell lengths 3.1302, 4.2233, 4.2403 Å; angles 90.00, 90.00, 90.00 degrees
With the nearest neighbours (Å) after each atom.
Sites, in units of the cell vectors:
Fe (0.0000, 0.0000, 0.0000)  4 Re 2.63, 4 Mo 2.64
Re (0.0000, 0.5000, 0.5000)  4 Mo 2.63, 4 Re 2.64
Re (0.5000, 0.5000, 0.0000)  4 Fe 2.63, 4 Re 2.64
Mo (0.5000, 0.0000, 0.5000)  4 Re 2.63, 4 Fe 2.64

Values from the calculation:
Total DFT energy (no corrections) (eV/atom): -11.68
Calculated volume (A^3/atom): 14.014

No. 11
VASP calculation (GGA-PBEsol) on a relaxed FeRe2Mo crystal.

Cell lengths 2.6626, 2.6626, 7.7254 Å; angles 90.00, 90.00, 90.00 degrees
With the nearest neighbours (Å) after each atom.
Sites, in units of the cell vectors:
Fe (0.0000, 0.0000, 0.0000)  8 Re 2.55, 4 Fe 2.66
Re (0.5000, 0.5000, 0.2228)  4 Fe 2.55, 4 Re 2.66, 4 Mo 2.85
Re (0.5000, 0.5000, 0.7772)  4 Fe 2.55, 4 Re 2.66, 4 Mo 2.85
Mo (0.0000, 0.0000, 0.5000)  4 Mo 2.66, 8 Re 2.85

Values from the calculation:
Total DFT energy (no corrections) (eV/atom): -11.73
Calculated volume (A^3/atom): 13.692

No. 12
VASP calculation (GGA-PBEsol) on a relaxed Fe4ReMo crystal.

Cell lengths 4.6157, 4.6157, 4.6157 Å; angles 60.00, 60.00, 60.00 degrees
With the nearest neighbours (Å) after each atom.
Sites, in units of the cell vectors:
Fe (0.1248, 0.1248, 0.1248)  6 Fe 2.30-2.31
Fe (0.1248, 0.1248, 0.6255)  6 Fe 2.30-2.31
Fe (0.1248, 0.6255, 0.1248)  6 Fe 2.30-2.31
Fe (0.6255, 0.1248, 0.1248)  6 Fe 2.30-2.31
Re (0.7500, 0.7500, 0.7500)  12 Fe 2.71, 4 Mo 2.83
Mo (0.5000, 0.5000, 0.5000)  12 Fe 2.71, 4 Re 2.83

Values from the calculation:
Total DFT energy (no corrections) (eV/atom): -10.20
Calculated volume (A^3/atom): 11.589

No. 13
VASP calculation (GGA-PBEsol) on a relaxed FeMo2Rh crystal.

Cell lengths 4.6364, 4.6364, 4.6364 Å; angles 132.04, 132.04, 70.17 degrees
With the nearest neighbours (Å) after each atom.
Sites, in units of the cell vectors:
Fe (0.0000, 0.0000, 0.0000)  4 Rh 2.66, 8 Mo 2.67
Mo (0.2500, 0.7500, 0.5000)  4 Mo 2.66, 4 Fe 2.67, 4 Rh 2.67
Mo (0.7500, 0.2500, 0.5000)  4 Mo 2.66, 4 Fe 2.67, 4 Rh 2.67
Rh (0.5000, 0.5000, 0.0000)  4 Fe 2.66, 8 Mo 2.67

Values from the calculation:
Total DFT energy (no corrections) (eV/atom): -10.17
Calculated volume (A^3/atom): 13.471

No. 14
VASP calculation (GGA-PBEsol) on a relaxed FeMoRh3 crystal.

Cell lengths 4.5497, 4.5497, 4.5497 Å; angles 90.00, 90.00, 90.00 degrees
With the nearest neighbours (Å) after each atom.
Sites, in units of the cell vectors:
Fe (0.0000, 0.0000, 0.0000)  12 Rh 3.22
Mo (0.5000, 0.5000, 0.5000)  6 Rh 2.27
Rh (0.0000, 0.5000, 0.5000)  2 Mo 2.27
Rh (0.5000, 0.0000, 0.5000)  2 Mo 2.27
Rh (0.5000, 0.5000, 0.0000)  2 Mo 2.27

Values from the calculation:
Total DFT energy (no corrections) (eV/atom): -7.52
Calculated volume (A^3/atom): 18.836

No. 15
VASP calculation (GGA-PBEsol) on a relaxed Fe2MoRh crystal.

Cell lengths 3.6817, 3.6817, 3.5684 Å; angles 90.00, 90.00, 90.00 degrees
With the nearest neighbours (Å) after each atom.
Sites, in units of the cell vectors:
Fe (0.0000, 0.5000, 0.0000)  4 Mo 2.56, 4 Rh 2.56, 4 Fe 2.60
Fe (0.5000, 0.0000, 0.0000)  4 Mo 2.56, 4 Rh 2.56, 4 Fe 2.60
Mo (0.0000, 0.0000, 0.5000)  8 Fe 2.56, 4 Rh 2.60
Rh (0.5000, 0.5000, 0.5000)  8 Fe 2.56, 4 Mo 2.60

Values from the calculation:
Total DFT energy (no corrections) (eV/atom): -9.49
Calculated volume (A^3/atom): 12.092

No. 16
VASP calculation (GGA-PBEsol) on a relaxed Fe2MoRh crystal.

Cell lengths 2.8056, 2.8056, 6.4618 Å; angles 90.00, 90.00, 90.00 degrees
With the nearest neighbours (Å) after each atom.
Sites, in units of the cell vectors:
Fe (0.0000, 0.0000, 0.0000)  4 Fe 2.40, 4 Rh 2.56
Fe (0.5000, 0.5000, 0.2080)  4 Fe 2.40, 4 Mo 2.57
Mo (0.0000, 0.0000, 0.4608)  4 Fe 2.57, 4 Rh 2.72, 4 Mo 2.81
Rh (0.5000, 0.5000, 0.7491)  4 Fe 2.56, 4 Mo 2.72, 4 Rh 2.81

Values from the calculation:
Total DFT energy (no corrections) (eV/atom): -9.43
Calculated volume (A^3/atom): 12.715

No. 17
VASP calculation (GGA-PBEsol) on a relaxed FeMo3Rh crystal.

Cell lengths 4.3288, 4.3288, 4.3288 Å; angles 90.00, 90.00, 90.00 degrees
With the nearest neighbours (Å) after each atom.
Sites, in units of the cell vectors:
Fe (0.0000, 0.0000, 0.0000)  6 Mo 2.16
Mo (0.0000, 0.0000, 0.5000)  2 Fe 2.16
Mo (0.0000, 0.5000, 0.0000)  2 Fe 2.16
Mo (0.5000, 0.0000, 0.0000)  2 Fe 2.16
Rh (0.5000, 0.5000, 0.5000)  12 Mo 3.06

Values from the calculation:
Total DFT energy (no corrections) (eV/atom): -9.35
Calculated volume (A^3/atom): 16.223

No. 18
VASP calculation (GGA-PBEsol) on a relaxed Fe4MoRh crystal.

Cell lengths 4.6219, 4.6219, 4.6219 Å; angles 60.00, 60.00, 60.00 degrees
With the nearest neighbours (Å) after each atom.
Sites, in units of the cell vectors:
Fe (0.3756, 0.3756, 0.3756)  6 Fe 2.30-2.32
Fe (0.3756, 0.3756, 0.8733)  6 Fe 2.30-2.32
Fe (0.3756, 0.8733, 0.3756)  6 Fe 2.30-2.32
Fe (0.8733, 0.3756, 0.3756)  6 Fe 2.30-2.32
Mo (0.0000, 0.0000, 0.0000)  12 Fe 2.71, 4 Rh 2.83
Rh (0.7500, 0.7500, 0.7500)  12 Fe 2.71, 4 Mo 2.83

Values from the calculation:
Total DFT energy (no corrections) (eV/atom): -9.35
Calculated volume (A^3/atom): 11.636

No. 19
VASP calculation (GGA-PBEsol) on a relaxed Fe2MoRh crystal.

Cell lengths 4.5324, 4.5324, 4.5324 Å; angles 132.40, 132.40, 69.59 degrees
With the nearest neighbours (Å) after each atom.
Sites, in units of the cell vectors:
Fe (0.0000, 0.0000, 0.0000)  4 Mo 2.59, 4 Fe 2.61, 4 Rh 2.61
Fe (0.7500, 0.2500, 0.5000)  4 Rh 2.59, 4 Fe 2.61, 4 Mo 2.61
Mo (0.5000, 0.5000, 0.0000)  8 Fe 2.59-2.61, 4 Rh 2.61
Rh (0.2500, 0.7500, 0.5000)  8 Fe 2.59-2.61, 4 Mo 2.61

Values from the calculation:
Total DFT energy (no corrections) (eV/atom): -9.45
Calculated volume (A^3/atom): 12.449

No. 20
VASP calculation (GGA-PBEsol) on a relaxed Fe2MoRh crystal.

Cell lengths 2.8338, 4.2342, 4.3304 Å; angles 90.00, 90.00, 90.00 degrees
With the nearest neighbours (Å) after each atom.
Sites, in units of the cell vectors:
Fe (0.0000, 0.0000, 0.0000)  4 Rh 2.55, 6 Fe 2.59-2.83
Fe (0.5000, 0.0000, 0.5000)  4 Mo 2.55, 6 Fe 2.59-2.83
Mo (0.0000, 0.5000, 0.5000)  4 Fe 2.55, 4 Rh 2.59, 2 Mo 2.83
Rh (0.5000, 0.5000, 0.0000)  4 Fe 2.55, 4 Mo 2.59, 2 Rh 2.83

Values from the calculation:
Total DFT energy (no corrections) (eV/atom): -9.26
Calculated volume (A^3/atom): 12.990